! YMn2W, single point on PBEsol structure, DFT meta-GGA SCAN; values from VASP
! DFT formation energy	0.46	eV/atom
! uncorrected energy	-33.0532	eV per atom
&SYSTEM
  ibrav = 0, nat = 4, ntyp = 3
/
ATOMIC_SPECIES
Mn 54.94 Mn.upf
Y 88.91 Y.upf
W 183.84 W.upf
ATOMIC_POSITIONS crystal
Mn 0.000 0.000 0.500
Y 0.500 0.000 0.000
Mn 0.000 0.500 0.000
W 0.500 0.500 0.500
CELL_PARAMETERS angstrom
3.046 0.000 0.000
0.000 4.414 0.000
0.000 0.000 4.414